[1]
The following is a PBE calculation of crystalline Na2AgAuBr6 at its relaxed geometry, from Alexandria.

Cell lengths 7.6009, 7.6009, 7.6009 Å; angles 60.00, 60.00, 60.00 degrees
Last column: nearest neighbours and their distance in Å.
Positions (direct):
Br  0.2481  0.2481  0.7519  1 Au 2.67, 1 Ag 2.71
Br  0.7519  0.2481  0.2481  1 Au 2.67, 1 Ag 2.71
Br  0.2481  0.7519  0.2481  1 Au 2.67, 1 Ag 2.71
Br  0.7519  0.2481  0.7519  1 Au 2.67, 1 Ag 2.71
Br  0.7519  0.7519  0.2481  1 Au 2.67, 1 Ag 2.71
Br  0.2481  0.7519  0.7519  1 Au 2.67, 1 Ag 2.71
Ag  0.5000  0.5000  0.5000  6 Br 2.71
Na  0.7500  0.7500  0.7500  12 Br 3.80
Na  0.2500  0.2500  0.2500  12 Br 3.80
Au  0.0000  0.0000  0.0000  6 Br 2.67

Calculated values
Offset from the most stable computed form (meV/atom): 126
Crystal system: cubic
ΔE_f (raw) (eV per atom): -0.6107
N(E_F) (states/eV/cell): 3.68

[2]
The following is a PBE calculation of crystalline NaAgAu2Br6 at its relaxed geometry, from Alexandria.

Cell lengths 8.2974, 7.2544, 7.6529 Å; angles 105.41, 101.52, 123.74 degrees
Last column: nearest neighbours and their distance in Å.
Positions (direct):
Na  0.9305  0.3734  0.2853  4 Br 2.87-3.04
Ag  0.2486  0.0281  0.3372  4 Br 2.66-2.91, 1 Au 2.79
Br  0.8310  0.6369  0.1327  1 Ag 2.66, 1 Au 2.72, 1 Na 2.87
Br  0.9474  0.2715  0.6265  1 Au 2.49
Br  0.4745  0.9060  0.1555  1 Au 2.52
Br  0.2812  0.3707  0.2326  1 Au 2.52, 1 Ag 2.70
Br  0.3125  0.9254  0.6642  1 Au 2.50
Br  0.7622  0.7694  0.7105  2 Au 2.49-2.53
Au  0.5654  0.3699  0.7319  3 Br 2.49-2.72
Au  0.6124  0.8264  0.4262  4 Br 2.49-2.53

Calculated values
Crystal system: triclinic
ΔE_f (raw) (eV per atom): -0.4327
N(E_F) (states/eV/cell): 0.73

[3]
The following is a PBE calculation of crystalline Na2AgAuBr6 at its relaxed geometry, from Alexandria.

Cell lengths 7.0910, 8.0587, 7.5648 Å; angles 67.77, 62.02, 58.03 degrees
Last column: nearest neighbours and their distance in Å.
Positions (direct):
Na  0.4987  0.5204  0.4459  6 Br 2.92-3.19
Na  0.0594  0.0429  0.9240  5 Br 2.88-3.09
Br  0.4742  0.7260  0.7233  1 Ag 2.55
Br  0.5735  0.2054  0.2371  1 Au 2.51
Br  0.1696  0.9100  0.3004  1 Ag 2.56
Br  0.6883  0.1274  0.7571  1 Au 2.53
Br  0.0825  0.4390  0.8103  1 Au 2.50
Br  0.9759  0.5343  0.2772  1 Au 2.50
Au  0.3282  0.3252  0.0225  4 Br 2.50-2.53
Ag  0.8111  0.8310  0.5174  2 Br 2.55-2.56

Calculated values
Offset from the most stable computed form (meV/atom): 0
Crystal system: triclinic
ΔE_f (raw) (eV per atom): -0.7364

[4]
The following is a PBE calculation of crystalline Ag2PbAuBr6 at its relaxed geometry, from Alexandria.

Cell lengths 7.1927, 7.3380, 8.2840 Å; angles 56.50, 66.68, 64.19 degrees
Last column: nearest neighbours and their distance in Å.
Positions (direct):
Br  0.2516  0.9166  0.2775  1 Au 2.58, 1 Ag 2.71
Br  0.9102  0.6532  0.2441  2 Ag 2.70-2.76, 1 Pb 3.00
Br  0.7332  0.1208  0.7107  2 Ag 2.72-2.73, 1 Pb 3.02
Br  0.1131  0.3770  0.8045  1 Ag 2.66, 1 Au 2.69
Br  0.3987  0.6999  0.7925  1 Au 2.59, 1 Ag 2.84
Br  0.5286  0.2509  0.2839  1 Au 2.65, 1 Ag 2.78
Pb  0.8196  0.8184  0.5347  6 Br 3.00-3.12
Ag  0.0300  0.0039  0.9041  4 Br 2.66-2.84
Ag  0.5488  0.5131  0.4188  4 Br 2.71-2.78
Au  0.3278  0.3077  0.0444  4 Br 2.58-2.69

Calculated values
Crystal system: triclinic
ΔE_f (raw) (eV per atom): -0.3932
N(E_F) (states/eV/cell): 4.74